Here is crystalline CsNaSrPb at its relaxed geometry from Alexandria via LeMat-Bulk. Energies are from PBE.

Unit cell a=6.007 b=6.007 c=6.007 alpha=60.00 beta=60.00 gamma=60.00
Sites, in units of the cell vectors:
Sr 0.500 0.500 0.500
Pb 0.250 0.250 0.250
Cs 0.750 0.750 0.750
Na 0.000 0.000 0.000

Output
E = -8.18 eV for the cell shown
Calculated volume = 153 Å³/cell
ΔE_f = -0.62 eV per formula unit